1.
Material: ErSi2Pt
Method: DFT, PBE
State: optimized geometry

abc: 5.354 3.281 8.191
angles: 90.00 96.53 90.00
Element x y z (fractional)
Er (0.100, 0.250, 0.312)
Er (0.900, 0.750, 0.688)
Pt (0.590, 0.750, 0.189)
Pt (0.410, 0.250, 0.811)
Si (0.186, 0.750, 0.004)
Si (0.622, 0.250, 0.425)
Si (0.378, 0.750, 0.575)
Si (0.814, 0.250, 0.996)

Calculated values
DFT total energy = -5.956 eV/atom
Magnetic moment = 0.00 μB per cell

***

2.
Material: DyEr2TmTl2
Method: DFT, PBE
State: optimized geometry

abc: 5.357 5.357 6.645
angles: 90.00 90.00 120.00
Element x y z (fractional)
Dy (0.333, 0.667, 0.000)
Er (0.667, 0.333, 0.253)
Er (0.667, 0.333, 0.747)
Tl (0.000, 0.000, 0.000)
Tl (0.333, 0.667, 0.500)
Tm (0.000, 0.000, 0.500)

Calculated values
DFT total energy = -4.070 eV/atom
Magnetic moment = 1.02 μB per cell

***

3.
Material: PmSn2
Method: DFT, PBE
State: optimized geometry

abc: 6.190 6.190 6.190
angles: 60.00 60.00 60.00
Element x y z (fractional)
Pm (0.000, 0.000, 0.000)
Pm (0.250, 0.250, 0.250)
Sn (0.625, 0.625, 0.125)
Sn (0.625, 0.125, 0.625)
Sn (0.125, 0.625, 0.625)
Sn (0.625, 0.625, 0.625)

Calculated values
DFT total energy = -4.582 eV/atom
Magnetic moment = 0.23 μB per cell
E above lowest polymorph = 306 meV per atom

***

> What is the formula in the second record?

DyEr2TmTl2

***

> Which value of magnetic moment does entry 1 give?

0.00 μB per cell

***

> The lowest DFT total energy belongs to which entry?

ErSi2Pt